(1)
K2AlRh, relaxed, DFT PBE; ΔE_f = -0.09 eV per atom; crystal system = monoclinic; DFT total energy = -3.41 eV/atom
1.0
3.8174 0.0000 0.0000
0.0000 3.1987 0.2387
0.0000 0.8923 10.1846
K Al Rh
2 1 1
Direct
0.0000 0.0980 0.9223
0.5000 0.4001 0.3304
0.5000 0.7453 0.6349
0.0000 0.2566 0.6123

(2)
K3La2TbSe6, relaxed, DFT PBE; raw formation energy = -1807 meV per atom; crystal system = monoclinic; DFT total energy = -5.03 eV/atom
1.0
-5.7517 -0.4166 4.9122
-0.9786 -2.2201 -7.1763
4.3942 -6.2464 2.6669
Se Tb K La
6 1 3 2
Direct
0.3930 0.0699 0.2096
0.6070 0.9301 0.7904
0.0699 0.3930 0.2096
0.9301 0.6070 0.7904
0.7469 0.7469 0.2094
0.2531 0.2531 0.7906
0.0000 0.0000 0.0000
0.5000 0.5000 0.5000
0.1676 0.8324 0.5000
0.8324 0.1676 0.5000
0.6665 0.3335 0.0000
0.3335 0.6665 0.0000

(3)
HoHfPtRh, relaxed, DFT PBE; ΔE_f = -0.93 eV per atom; crystal system = cubic; DFT total energy = -7.92 eV/atom
1.0
-2.3978 3.6612 -1.8973
-4.4926 -0.6044 -1.4848
-3.5979 2.0000 2.4101
Hf Rh Pt Ho
1 1 1 1
Direct
0.5000 0.5000 0.5000
0.2500 0.2500 0.2500
0.7500 0.7500 0.7500
0.0000 0.0000 0.0000

(4)
Zr2MoBr, relaxed, DFT PBE; raw formation energy = 129 meV per atom; crystal system = orthorhombic; energy above the most stable polymorph in this dataset = 468 meV/atom; DFT total energy = -7.27 eV/atom
1.0
4.9301 0.0097 0.0000
-0.9373 4.8402 0.0000
0.0000 0.0000 3.3101
Zr Mo Br
2 1 1
Direct
0.0000 0.0000 0.0000
0.5000 0.5000 0.0000
0.0000 0.5000 0.5000
0.5000 0.0000 0.5000

(5)
Ba2SmTlHg6, relaxed, DFT PBE; ΔE_f = -0.15 eV per atom; crystal system = cubic; DFT total energy = -1.43 eV/atom
1.0
8.1798 -0.0004 0.0000
0.0005 8.1798 0.0000
4.0902 4.0897 5.7841
Hg Ba Tl Sm
6 2 1 1
Direct
0.7528 0.7528 0.4944
0.7528 0.2472 0.0000
0.2472 0.2472 0.0000
0.2472 0.7528 0.0000
0.7528 0.7528 0.0000
0.2472 0.2472 0.5056
0.2500 0.7500 0.5000
0.7500 0.2500 0.5000
0.0000 0.0000 0.0000
0.5000 0.5000 0.0000

(6)
Mg3Tl3Cd, relaxed, DFT PBE; ΔE_f = 0.48 eV per atom; crystal system = cubic; energy above the most stable polymorph in this dataset = 491 meV/atom; DFT total energy = -1.35 eV/atom
1.0
-5.0954 0.1412 6.3533
-4.8699 -5.3184 -3.7875
4.0827 -6.1678 3.4114
Mg Cd Tl
6 2 6
Direct
0.0000 0.7500 0.5000
0.5000 0.0000 0.2500
0.7500 0.5000 0.0000
0.0000 0.2500 0.5000
0.2500 0.5000 0.0000
0.5000 0.0000 0.7500
0.5000 0.5000 0.5000
0.0000 0.0000 0.0000
0.7500 0.0000 0.5000
0.2500 0.0000 0.5000
0.5000 0.7500 0.0000
0.0000 0.5000 0.2500
0.5000 0.2500 0.0000
0.0000 0.5000 0.7500

(7)
Ti3Ga, relaxed, DFT PBE; ΔE_f = 0.21 eV per atom; crystal system = hexagonal; DFT total energy = -6.47 eV/atom
1.0
5.4533 0.0000 0.0000
-2.7267 4.7227 0.0000
0.0000 0.0000 2.7465
Ga Ti
1 3
Direct
0.0000 0.0000 0.0000
0.5000 0.5000 0.0000
0.0000 0.5000 0.0000
0.5000 0.0000 0.0000

(8)
Pr4NpRu4, relaxed, DFT PBE; ΔE_f = -0.09 eV per atom; crystal system = tetragonal; DFT total energy = -7.78 eV/atom
1.0
6.0210 0.0000 0.0000
0.0000 8.6622 0.0000
0.0000 0.0000 8.6622
Pr Ru Np
8 8 2
Direct
0.3632 0.3197 0.5472
0.8632 0.4528 0.8197
0.1368 0.9528 0.3197
0.8632 0.0472 0.6803
0.3632 0.1803 0.9528
0.6368 0.8197 0.0472
0.6368 0.6803 0.4528
0.1368 0.5472 0.1803
0.1308 0.8640 0.9824
0.6308 0.0176 0.3640
0.8692 0.3640 0.4824
0.3692 0.5176 0.8640
0.6308 0.4824 0.1360
0.3692 0.9824 0.6360
0.1308 0.6360 0.5176
0.8692 0.1360 0.0176
0.7500 0.2500 0.2500
0.2500 0.7500 0.7500